## ErCdNi4 (meta-GGA SCAN)

Data for ErCdNi4 at its PBEsol-relaxed geometry.

a = 4.869 Å, b = 4.869 Å, c = 4.869 Å
α = 60.00°, β = 60.00°, γ = 60.00°
Positions (direct):
Er 0.000 0.000 0.000
Cd 0.250 0.250 0.250
Ni 0.127 0.624 0.624
Ni 0.624 0.127 0.624
Ni 0.624 0.624 0.127
Ni 0.624 0.624 0.624

Formation enthalpy at 0 K in eV per formula unit: -2.16

=====

## ErCdPd2 (meta-GGA SCAN)

Data for ErCdPd2 at its PBEsol-relaxed geometry.

a = 4.678 Å, b = 4.678 Å, c = 4.678 Å
α = 60.00°, β = 60.00°, γ = 60.00°
Positions (direct):
Er 0.000 0.000 0.000
Cd 0.500 0.500 0.500
Pd 0.250 0.250 0.250
Pd 0.750 0.750 0.750

Formation enthalpy at 0 K in eV per formula unit: -3.22

=====

## Er4CdPd (meta-GGA SCAN)

Data for Er4CdPd at its PBEsol-relaxed geometry.

a = 9.417 Å, b = 9.417 Å, c = 9.417 Å
α = 60.00°, β = 60.00°, γ = 60.00°
Positions (direct):
Er 0.185 0.185 0.815
Er 0.185 0.815 0.185
Er 0.185 0.815 0.815
Er 0.395 0.395 0.395
Er 0.395 0.395 0.814
Er 0.395 0.814 0.395
Er 0.560 0.560 0.940
Er 0.560 0.940 0.560
Er 0.560 0.940 0.940
Er 0.814 0.395 0.395
Er 0.815 0.185 0.185
Er 0.815 0.185 0.815
Er 0.815 0.815 0.185
Er 0.940 0.560 0.560
Er 0.940 0.560 0.940
Er 0.940 0.940 0.560
Cd 0.168 0.168 0.168
Cd 0.168 0.168 0.496
Cd 0.168 0.496 0.168
Cd 0.496 0.168 0.168
Pd 0.185 0.605 0.605
Pd 0.605 0.185 0.605
Pd 0.605 0.605 0.185
Pd 0.605 0.605 0.605

Formation enthalpy at 0 K in eV per formula unit: -3.37

=====

## Er4CdPt (meta-GGA SCAN)

Data for Er4CdPt at its PBEsol-relaxed geometry.

a = 9.419 Å, b = 9.419 Å, c = 9.419 Å
α = 60.00°, β = 60.00°, γ = 60.00°
Positions (direct):
Er 0.186 0.186 0.814
Er 0.186 0.814 0.186
Er 0.186 0.814 0.814
Er 0.397 0.397 0.397
Er 0.397 0.397 0.810
Er 0.397 0.810 0.397
Er 0.560 0.560 0.940
Er 0.560 0.940 0.560
Er 0.560 0.940 0.940
Er 0.810 0.397 0.397
Er 0.814 0.186 0.186
Er 0.814 0.186 0.814
Er 0.814 0.814 0.186
Er 0.940 0.560 0.560
Er 0.940 0.560 0.940
Er 0.940 0.940 0.560
Cd 0.168 0.168 0.168
Cd 0.168 0.168 0.495
Cd 0.168 0.495 0.168
Cd 0.495 0.168 0.168
Pt 0.181 0.606 0.606
Pt 0.606 0.181 0.606
Pt 0.606 0.606 0.181
Pt 0.606 0.606 0.606

Formation enthalpy at 0 K in eV per formula unit: -4.68

=====

## Er2CdS4 (meta-GGA SCAN)

Data for Er2CdS4 at its PBEsol-relaxed geometry.

a = 7.815 Å, b = 7.815 Å, c = 7.815 Å
α = 60.00°, β = 60.00°, γ = 60.00°
Positions (direct):
Er 0.000 0.000 0.000
Er 0.000 0.000 0.500
Er 0.000 0.500 0.000
Er 0.500 0.000 0.000
Cd 0.375 0.375 0.375
Cd 0.625 0.625 0.625
S 0.228 0.757 0.757
S 0.243 0.243 0.243
S 0.243 0.243 0.772
S 0.243 0.772 0.243
S 0.757 0.228 0.757
S 0.757 0.757 0.228
S 0.757 0.757 0.757
S 0.772 0.243 0.243

Raw formation energy in eV per atom: -1.91

=====

## Er4CdS7 (meta-GGA SCAN)

Data for Er4CdS7 at its PBEsol-relaxed geometry.

a = 6.481 Å, b = 6.481 Å, c = 11.374 Å
α = 104.77°, β = 104.77°, γ = 33.60°
Positions (direct):
Er 0.000 0.000 0.000
Er 0.386 0.386 0.601
Er 0.591 0.591 0.383
Er 0.694 0.694 0.813
Cd 0.820 0.820 0.230
S 0.034 0.034 0.756
S 0.227 0.227 0.344
S 0.356 0.356 0.857
S 0.448 0.448 0.159
S 0.660 0.660 0.030
S 0.736 0.736 0.599
S 0.967 0.967 0.458

Raw formation energy in eV per atom: -2.05

=====

## YErCd2 (meta-GGA SCAN)

Data for YErCd2 at its PBEsol-relaxed geometry.

a = 5.182 Å, b = 5.182 Å, c = 5.182 Å
α = 60.00°, β = 60.00°, γ = 60.00°
Positions (direct):
Y 0.000 0.000 0.000
Er 0.500 0.500 0.500
Cd 0.250 0.250 0.250
Cd 0.750 0.750 0.750

Formation enthalpy at 0 K in eV per formula unit: -1.85

=====

## EuCd (meta-GGA SCAN)

Data for EuCd at its PBEsol-relaxed geometry.

a = 3.831 Å, b = 3.831 Å, c = 3.831 Å
α = 90.00°, β = 90.00°, γ = 90.00°
Positions (direct):
Eu 0.000 0.000 0.000
Cd 0.500 0.500 0.500

Formation enthalpy at 0 K in eV per formula unit: -0.87

=====

## Eu2CdGe (meta-GGA SCAN)

Data for Eu2CdGe at its PBEsol-relaxed geometry.

a = 5.271 Å, b = 5.271 Å, c = 5.271 Å
α = 60.00°, β = 60.00°, γ = 60.00°
Positions (direct):
Eu 0.250 0.250 0.250
Eu 0.750 0.750 0.750
Cd 0.000 0.000 0.000
Ge 0.500 0.500 0.500

Formation enthalpy at 0 K in eV per formula unit: -2.26

=====

## EuCdHg2 (meta-GGA SCAN)

Data for EuCdHg2 at its PBEsol-relaxed geometry.

a = 5.098 Å, b = 5.098 Å, c = 5.098 Å
α = 60.00°, β = 60.00°, γ = 60.00°
Positions (direct):
Eu 0.000 0.000 0.000
Cd 0.500 0.500 0.500
Hg 0.250 0.250 0.250
Hg 0.750 0.750 0.750

Formation enthalpy at 0 K in eV per formula unit: -2.06

=====

## Eu2CdHg (meta-GGA SCAN)

Data for Eu2CdHg at its PBEsol-relaxed geometry.

a = 5.387 Å, b = 5.387 Å, c = 5.387 Å
α = 60.00°, β = 60.00°, γ = 60.00°
Positions (direct):
Eu 0.250 0.250 0.250
Eu 0.750 0.750 0.750
Cd 0.000 0.000 0.000
Hg 0.500 0.500 0.500

Formation enthalpy at 0 K in eV per formula unit: -2.25

=====

## EuMgCd2 (meta-GGA SCAN)

Data for EuMgCd2 at its PBEsol-relaxed geometry.

a = 5.139 Å, b = 5.139 Å, c = 5.139 Å
α = 60.00°, β = 60.00°, γ = 60.00°
Positions (direct):
Eu 0.000 0.000 0.000
Mg 0.500 0.500 0.500
Cd 0.250 0.250 0.250
Cd 0.750 0.750 0.750

Formation enthalpy at 0 K in eV per formula unit: -1.45

=====

## Eu2MgCd (meta-GGA SCAN)

Data for Eu2MgCd at its PBEsol-relaxed geometry.

a = 5.496 Å, b = 5.496 Å, c = 5.496 Å
α = 60.00°, β = 60.00°, γ = 60.00°
Positions (direct):
Eu 0.250 0.250 0.250
Eu 0.750 0.750 0.750
Mg 0.000 0.000 0.000
Cd 0.500 0.500 0.500

Formation enthalpy at 0 K in eV per formula unit: -0.96

=====

## EuCd2P2 (meta-GGA SCAN)

Data for EuCd2P2 at its PBEsol-relaxed geometry.

a = 4.281 Å, b = 4.281 Å, c = 6.926 Å
α = 90.00°, β = 90.00°, γ = 120.00°
Positions (direct):
Eu 0.000 0.000 0.000
Cd 0.333 0.667 0.639
Cd 0.667 0.333 0.361
P 0.333 0.667 0.241
P 0.667 0.333 0.759

Formation enthalpy at 0 K in eV per formula unit: -3.55

=====

## Eu2CdPb (meta-GGA SCAN)

Data for Eu2CdPb at its PBEsol-relaxed geometry.

a = 5.482 Å, b = 5.482 Å, c = 5.482 Å
α = 60.00°, β = 60.00°, γ = 60.00°
Positions (direct):
Eu 0.250 0.250 0.250
Eu 0.750 0.750 0.750
Cd 0.000 0.000 0.000
Pb 0.500 0.500 0.500

Formation enthalpy at 0 K in eV per formula unit: -2.73

=====

## Eu2TlCd (meta-GGA SCAN)

Data for Eu2TlCd at its PBEsol-relaxed geometry.

a = 5.451 Å, b = 5.451 Å, c = 5.451 Å
α = 60.00°, β = 60.00°, γ = 60.00°
Positions (direct):
Eu 0.250 0.250 0.250
Eu 0.750 0.750 0.750
Tl 0.000 0.000 0.000
Cd 0.500 0.500 0.500

Formation enthalpy at 0 K in eV per formula unit: -2.11

=====

## Eu2ZnCd (meta-GGA SCAN)

Data for Eu2ZnCd at its PBEsol-relaxed geometry.

a = 5.304 Å, b = 5.304 Å, c = 5.304 Å
α = 60.00°, β = 60.00°, γ = 60.00°
Positions (direct):
Eu 0.250 0.250 0.250
Eu 0.750 0.750 0.750
Zn 0.000 0.000 0.000
Cd 0.500 0.500 0.500

Formation enthalpy at 0 K in eV per formula unit: -1.36

=====

## CdF2 (meta-GGA SCAN)

Data for CdF2 at its PBEsol-relaxed geometry.

a = 5.810 Å, b = 3.576 Å, c = 6.961 Å
α = 90.00°, β = 90.00°, γ = 90.00°
Positions (direct):
Cd 0.244 0.250 0.106
Cd 0.256 0.750 0.606
Cd 0.744 0.250 0.394
Cd 0.756 0.750 0.894
F 0.013 0.250 0.838
F 0.140 0.250 0.419
F 0.360 0.750 0.919
F 0.487 0.750 0.338
F 0.513 0.250 0.662
F 0.640 0.250 0.081
F 0.860 0.750 0.581
F 0.987 0.750 0.162

Raw formation energy in eV per atom: -2.38

=====

## CdF2 (meta-GGA SCAN)

Data for CdF2 at its PBEsol-relaxed geometry.

a = 3.813 Å, b = 3.813 Å, c = 3.813 Å
α = 60.00°, β = 60.00°, γ = 60.00°
Positions (direct):
Cd 0.000 0.000 0.000
F 0.250 0.250 0.250
F 0.750 0.750 0.750

Raw formation energy in eV per atom: -2.41

=====

## ZrCdFe2F (meta-GGA SCAN)

Data for ZrCdFe2F at its PBEsol-relaxed geometry.

a = 4.838 Å, b = 4.838 Å, c = 4.104 Å
α = 90.00°, β = 90.00°, γ = 90.00°
Positions (direct):
Zr 0.000 0.000 0.000
Cd 0.500 0.500 0.500
Fe 0.000 0.500 0.500
Fe 0.500 0.000 0.500
F 0.500 0.500 0.000

Raw formation energy in eV per atom: 0.56

=====

## CdGaH14O7F5 (meta-GGA SCAN)

Data for CdGaH14O7F5 at its PBEsol-relaxed geometry.

a = 5.808 Å, b = 9.295 Å, c = 9.935 Å
α = 107.73°, β = 101.71°, γ = 95.15°
Positions (direct):
Cd 0.084 0.324 0.253
Cd 0.916 0.676 0.747
Ga 0.458 0.177 0.754
Ga 0.542 0.823 0.246
H 0.101 0.833 0.267
H 0.119 0.852 0.584
H 0.126 0.261 0.518
H 0.143 0.999 0.868
H 0.172 0.311 0.974
H 0.176 0.623 0.478
H 0.239 0.490 0.072
H 0.244 0.920 0.985
H 0.285 0.909 0.428
H 0.302 0.481 0.750
H 0.331 0.610 0.907
H 0.411 0.594 0.421
H 0.428 0.124 0.227
H 0.455 0.704 0.749
H 0.545 0.296 0.251
H 0.572 0.876 0.773
H 0.589 0.406 0.579
H 0.669 0.390 0.093
H 0.698 0.519 0.250
H 0.715 0.091 0.572
H 0.756 0.080 0.015
H 0.761 0.510 0.928
H 0.824 0.377 0.522
H 0.828 0.689 0.026
H 0.857 0.001 0.132
H 0.874 0.739 0.482
H 0.881 0.148 0.416
H 0.899 0.167 0.733
O 0.022 0.749 0.559
O 0.128 0.903 0.891
O 0.144 0.390 0.060
O 0.261 0.831 0.328
O 0.266 0.541 0.434
O 0.282 0.589 0.799
O 0.432 0.233 0.285
O 0.568 0.767 0.715
O 0.718 0.411 0.201
O 0.734 0.459 0.566
O 0.739 0.169 0.672
O 0.856 0.610 0.940
O 0.872 0.097 0.109
O 0.978 0.251 0.441
F 0.165 0.168 0.821
F 0.288 0.007 0.587
F 0.351 0.314 0.652
F 0.404 0.647 0.082
F 0.427 0.949 0.139
F 0.573 0.051 0.861
F 0.596 0.353 0.918
F 0.649 0.686 0.348
F 0.712 0.993 0.413
F 0.835 0.832 0.179

Calculated total energy in eV per cell: -394.8

=====

## Cd2GaSnF (meta-GGA SCAN)

Data for Cd2GaSnF at its PBEsol-relaxed geometry.

a = 5.456 Å, b = 5.456 Å, c = 5.348 Å
α = 90.00°, β = 90.00°, γ = 90.00°
Positions (direct):
Cd 0.000 0.500 0.000
Cd 0.500 0.000 0.000
Ga 0.000 0.000 0.500
Sn 0.000 0.000 0.000
F 0.500 0.500 0.500

Raw formation energy in eV per atom: 0.04

=====

## CdGeF3 (meta-GGA SCAN)

Data for CdGeF3 at its PBEsol-relaxed geometry.

a = 4.304 Å, b = 4.304 Å, c = 4.304 Å
α = 90.00°, β = 90.00°, γ = 90.00°
Positions (direct):
Cd 0.000 0.000 0.000
Ge 0.500 0.500 0.500
F 0.000 0.500 0.500
F 0.500 0.000 0.500
F 0.500 0.500 0.000

Raw formation energy in eV per atom: -1.53